[1]
A plane-wave DFT calculation with GGA-PBE was carried out for a relaxed Ba2TmCd10 crystal.

Geometry as POSCAR:
```
Ba2TmCd10
1.0
6.587 0.000 0.000
0.000 6.839 0.000
-4.038 0.000 16.510
Ba Tm Cd
4 2 20
Direct
0.203 0.113 0.118
0.203 0.387 0.618
0.797 0.613 0.382
0.797 0.887 0.882
0.500 0.000 0.500
0.500 0.500 0.000
0.016 0.109 0.420
0.016 0.391 0.920
0.143 0.051 0.760
0.143 0.449 0.260
0.271 0.673 0.831
0.271 0.827 0.331
0.344 0.072 0.930
0.344 0.428 0.430
0.440 0.649 0.174
0.440 0.851 0.674
0.560 0.149 0.326
0.560 0.351 0.826
0.656 0.572 0.570
0.656 0.928 0.070
0.729 0.173 0.669
0.729 0.327 0.169
0.857 0.551 0.740
0.857 0.949 0.240
0.984 0.609 0.080
0.984 0.891 0.580
```

## Properties
magnetization	0.00	Bohr magnetons per cell
calculated density	7.00	Mg/m³
V	371.9	Å³/f.u.
ΔE_f	-16.3	kJ per mole of atoms
crystal system	monoclinic
space group	P2_1/c (14)

***

[2]
A plane-wave DFT calculation with GGA-PBE was carried out for a relaxed Ba3VCd crystal.

Geometry as POSCAR:
```
Ba3VCd
1.0
6.200 0.000 0.000
0.000 6.200 0.000
0.000 0.000 6.200
Ba V Cd
3 1 1
Direct
0.000 0.000 0.500
0.000 0.500 0.000
0.500 0.000 0.000
0.000 0.000 0.000
0.500 0.500 0.500
```

## Properties
magnetization	3.15	Bohr magnetons per cell
calculated density	4.01	Mg/m³
V	238.3	Å³/f.u.
E above lowest polymorph	0	meV/atom
ΔE_f	55.7	kJ per mole of atoms
crystal system	cubic
space group	Pm-3m (221)

***

[3]
A plane-wave DFT calculation with GGA-PBE was carried out for a relaxed Ba2VCd crystal.

Geometry as POSCAR:
```
Ba2VCd
1.0
-4.611 4.611 3.444
4.611 -4.611 3.444
4.611 4.611 -3.444
Ba V Cd
4 2 2
Direct
0.112 0.625 0.987
0.375 0.362 0.487
0.638 0.125 0.013
0.875 0.888 0.513
0.000 0.000 0.000
0.750 0.250 0.500
0.250 0.750 0.500
0.500 0.500 0.000
```

## Properties
magnetization	7.51	Bohr magnetons per cell
calculated density	4.97	Mg/m³
V	146.4	Å³/f.u.
ΔE_f	60.5	kJ per mole of atoms
crystal system	tetragonal
space group	I-42d (122)

***

[4]
A plane-wave DFT calculation with GGA-PBE was carried out for a relaxed BaCdW2 crystal.

Geometry as POSCAR:
```
BaCdW2
1.0
1.492 0.862 11.186
-1.492 0.862 11.186
0.000 -1.723 11.186
Ba Cd W
1 1 2
Direct
0.000 0.000 0.000
0.500 0.500 0.500
0.240 0.240 0.240
0.760 0.760 0.760
```

## Properties
magnetization	0.00	Bohr magnetons per cell
calculated density	11.88	Mg/m³
V	86.3	Å³/f.u.
ΔE_f	127.6	kJ per mole of atoms
crystal system	trigonal
space group	R-3m (166)

***

[5]
A plane-wave DFT calculation with GGA-PBE was carried out for a relaxed BaCdW2 crystal.

Geometry as POSCAR:
```
BaCdW2
1.0
-2.111 2.111 5.116
2.111 -2.111 5.116
2.111 2.111 -5.116
Ba Cd W
1 1 2
Direct
0.000 0.000 0.000
0.500 0.500 0.000
0.250 0.750 0.500
0.750 0.250 0.500
```

## Properties
magnetization	0.00	Bohr magnetons per cell
calculated density	11.24	Mg/m³
V	91.2	Å³/f.u.
ΔE_f	151.5	kJ per mole of atoms
crystal system	tetragonal
space group	I4/mmm (139)

***

[6]
A plane-wave DFT calculation with GGA-PBE was carried out for a relaxed Ba2CdW crystal.

Geometry as POSCAR:
```
Ba2CdW
1.0
3.357 0.000 0.000
0.000 3.354 0.000
-0.024 0.000 10.720
Ba Cd W
2 1 1
Direct
0.001 0.000 0.231
0.999 0.000 0.769
0.500 0.500 0.500
0.500 0.500 0.000
```

## Properties
magnetization	0.00	Bohr magnetons per cell
calculated density	7.86	Mg/m³
V	120.7	Å³/f.u.
ΔE_f	85.8	kJ per mole of atoms
crystal system	monoclinic
space group	P2/m (10)

***

[7]
A plane-wave DFT calculation with GGA-PBE was carried out for a relaxed Ba2CdW crystal.

Geometry as POSCAR:
```
Ba2CdW
1.0
-2.825 2.825 3.981
2.825 -2.825 3.981
2.825 2.825 -3.981
Ba Cd W
2 1 1
Direct
0.000 0.000 0.000
0.750 0.250 0.500
0.500 0.500 0.000
0.250 0.750 0.500
```

## Properties
magnetization	4.16	Bohr magnetons per cell
calculated density	7.46	Mg/m³
V	127.1	Å³/f.u.
ΔE_f	96.3	kJ per mole of atoms
crystal system	tetragonal
space group	I-4m2 (119)

***

[8]
A plane-wave DFT calculation with GGA-PBE was carried out for a relaxed Ba2CdW crystal.

Geometry as POSCAR:
```
Ba2CdW
1.0
6.608 -1.936 0.000
6.608 1.936 0.000
-2.476 0.000 5.221
Ba Cd W
2 1 1
Direct
0.000 0.000 0.000
0.198 0.198 0.695
0.779 0.779 0.276
0.452 0.452 0.453
```

## Properties
magnetization	2.16	Bohr magnetons per cell
calculated density	7.10	Mg/m³
V	133.6	Å³/f.u.
ΔE_f	81.4	kJ per mole of atoms
crystal system	monoclinic
space group	Cm (8)

***

[9]
A plane-wave DFT calculation with GGA-PBE was carried out for a relaxed BaCdW2 crystal.

Geometry as POSCAR:
```
BaCdW2
1.0
2.975 -5.258 0.000
2.975 5.258 0.000
0.000 0.000 2.849
Ba Cd W
1 1 2
Direct
0.000 0.000 0.000
0.500 0.500 0.000
0.000 0.500 0.500
0.500 0.000 0.500
```

## Properties
magnetization	0.00	Bohr magnetons per cell
calculated density	11.50	Mg/m³
V	89.1	Å³/f.u.
ΔE_f	144.0	kJ per mole of atoms
crystal system	orthorhombic
space group	Cmmm (65)

***

[10]
A plane-wave DFT calculation with GGA-PBE was carried out for a relaxed BaCdW2 crystal.

Geometry as POSCAR:
```
BaCdW2
1.0
4.313 -1.576 0.000
4.313 1.576 0.000
-0.989 0.000 7.542
Ba Cd W
1 1 2
Direct
0.000 0.000 0.000
0.239 0.239 0.655
0.495 0.495 0.440
0.772 0.772 0.317
```

## Properties
magnetization	0.00	Bohr magnetons per cell
calculated density	10.00	Mg/m³
V	102.6	Å³/f.u.
ΔE_f	83.2	kJ per mole of atoms
crystal system	monoclinic
space group	Cm (8)

***

[11]
A plane-wave DFT calculation with GGA-PBE was carried out for a relaxed BaCdW3 crystal.

Geometry as POSCAR:
```
BaCdW3
1.0
5.082 0.000 0.000
0.000 5.082 0.000
0.000 0.000 5.082
Ba Cd W
1 1 3
Direct
0.000 0.000 0.000
0.500 0.500 0.500
0.000 0.500 0.500
0.500 0.000 0.500
0.500 0.500 0.000
```

## Properties
magnetization	0.00	Bohr magnetons per cell
calculated density	10.14	Mg/m³
V	131.3	Å³/f.u.
E above lowest polymorph	0	meV/atom
ΔE_f	265.5	kJ per mole of atoms
crystal system	cubic
space group	Pm-3m (221)

***

[12]
A plane-wave DFT calculation with GGA-PBE was carried out for a relaxed BaCdW2 crystal.

Geometry as POSCAR:
```
BaCdW2
1.0
0.000 3.536 3.536
3.536 0.000 3.536
3.536 3.536 0.000
Ba Cd W
1 1 2
Direct
0.000 0.000 0.000
0.250 0.250 0.250
0.500 0.500 0.500
0.750 0.750 0.750
```

## Properties
magnetization	1.30	Bohr magnetons per cell
calculated density	11.60	Mg/m³
V	88.4	Å³/f.u.
ΔE_f	130.1	kJ per mole of atoms
crystal system	cubic
space group	F-43m (216)

***

[13]
A plane-wave DFT calculation with GGA-PBE was carried out for a relaxed BaCdW2 crystal.

Geometry as POSCAR:
```
BaCdW2
1.0
2.898 0.000 0.000
0.000 5.419 0.000
0.000 0.000 5.586
Ba Cd W
1 1 2
Direct
0.000 0.000 0.000
0.500 0.500 0.000
0.000 0.500 0.500
0.500 0.000 0.500
```

## Properties
magnetization	0.00	Bohr magnetons per cell
calculated density	11.69	Mg/m³
V	87.7	Å³/f.u.
ΔE_f	129.7	kJ per mole of atoms
crystal system	orthorhombic
space group	Pmmm (47)

***

[14]
A plane-wave DFT calculation with GGA-PBE was carried out for a relaxed Ba2CdW crystal.

Geometry as POSCAR:
```
Ba2CdW
1.0
3.812 0.000 0.000
0.000 3.812 0.000
0.000 0.000 9.582
Ba Cd W
2 1 1
Direct
0.000 0.000 0.000
0.500 0.500 0.413
0.000 0.000 0.654
0.500 0.500 0.754
```

## Properties
magnetization	1.11	Bohr magnetons per cell
calculated density	6.81	Mg/m³
V	139.2	Å³/f.u.
ΔE_f	78.4	kJ per mole of atoms
crystal system	tetragonal
space group	P4mm (99)

***

[15]
A plane-wave DFT calculation with GGA-PBE was carried out for a relaxed BaCdW3 crystal.

Geometry as POSCAR:
```
BaCdW3
1.0
5.036 0.000 0.000
0.000 5.036 0.000
0.000 0.000 5.036
Ba Cd W
1 1 3
Direct
0.000 0.000 0.000
0.500 0.500 0.500
0.000 0.000 0.500
0.000 0.500 0.000
0.500 0.000 0.000
```

## Properties
magnetization	0.00	Bohr magnetons per cell
calculated density	10.42	Mg/m³
V	127.7	Å³/f.u.
E above lowest polymorph	916	meV/atom
ΔE_f	353.9	kJ per mole of atoms
crystal system	cubic
space group	Pm-3m (221)

***

[16]
A plane-wave DFT calculation with GGA-PBE was carried out for a relaxed Ba2CdW crystal.

Geometry as POSCAR:
```
Ba2CdW
1.0
-4.578 4.578 3.251
4.578 -4.578 3.251
4.578 4.578 -3.251
Ba Cd W
4 2 2
Direct
0.094 0.625 0.969
0.375 0.344 0.469
0.656 0.125 0.031
0.875 0.906 0.531
0.250 0.750 0.500
0.500 0.500 0.000
0.000 0.000 0.000
0.750 0.250 0.500
```

## Properties
magnetization	4.64	Bohr magnetons per cell
calculated density	6.96	Mg/m³
V	136.3	Å³/f.u.
ΔE_f	110.3	kJ per mole of atoms
crystal system	tetragonal
space group	I-42d (122)

***

[17]
A plane-wave DFT calculation with GGA-PBE was carried out for a relaxed BaCdW crystal.

Geometry as POSCAR:
```
BaCdW
1.0
3.122 0.000 0.000
-1.561 2.704 0.000
0.000 0.000 8.620
Ba Cd W
1 1 1
Direct
0.000 0.000 0.000
0.667 0.333 0.381
0.333 0.667 0.659
```

## Properties
magnetization	0.00	Bohr magnetons per cell
calculated density	9.89	Mg/m³
V	72.8	Å³/f.u.
E above lowest polymorph	147	meV/atom
ΔE_f	106.0	kJ per mole of atoms
crystal system	trigonal
space group	P3m1 (156)

***

[18]
A plane-wave DFT calculation with GGA-PBE was carried out for a relaxed Ba2CdW crystal.

Geometry as POSCAR:
```
Ba2CdW
1.0
1.744 1.007 11.708
-1.744 1.007 11.708
0.000 -2.013 11.708
Ba Cd W
2 1 1
Direct
0.241 0.241 0.241
0.759 0.759 0.759
0.000 0.000 0.000
0.500 0.500 0.500
```

## Properties
magnetization	0.00	Bohr magnetons per cell
calculated density	7.69	Mg/m³
V	123.3	Å³/f.u.
ΔE_f	101.5	kJ per mole of atoms
crystal system	trigonal
space group	R-3m (166)

***

[19]
A plane-wave DFT calculation with GGA-PBE was carried out for a relaxed BaCdW2 crystal.

Geometry as POSCAR:
```
BaCdW2
1.0
3.714 0.000 0.000
0.000 3.714 0.000
0.000 0.000 7.370
Ba Cd W
1 1 2
Direct
0.000 0.000 0.000
0.000 0.000 0.500
0.500 0.500 0.345
0.500 0.500 0.655
```

## Properties
magnetization	0.00	Bohr magnetons per cell
calculated density	10.09	Mg/m³
V	101.6	Å³/f.u.
ΔE_f	111.8	kJ per mole of atoms
crystal system	tetragonal
space group	P4/mmm (123)

***

[20]
A plane-wave DFT calculation with GGA-PBE was carried out for a relaxed BaCdW2 crystal.

Geometry as POSCAR:
```
BaCdW2
1.0
3.196 0.000 0.000
0.000 5.207 0.000
-1.057 0.000 6.474
Ba Cd W
1 1 2
Direct
0.000 0.000 0.000
0.500 0.000 0.500
0.295 0.500 0.642
0.705 0.500 0.358
```

## Properties
magnetization	0.00	Bohr magnetons per cell
calculated density	9.52	Mg/m³
V	107.7	Å³/f.u.
ΔE_f	99.1	kJ per mole of atoms
crystal system	monoclinic
space group	P2/m (10)